[1]
This record from Alexandria describes a relaxed KCdBr2 crystal. The functional is PBE.

Properties
SG: F-43m (216)
Electronic total energy (eV/atom): -1.908
E_form (uncorrected) (eV/atom): -0.569
Relative energy among the computed polymorphs (meV per atom): 452

The structure in POSCAR format:
```
KCdBr2
1.0
0.0000 3.9938 3.9938
3.9938 0.0000 3.9938
3.9938 3.9938 0.0000
K Cd Br
1 1 2
direct
0.0000 0.0000 0.0000 K
0.2500 0.2500 0.2500 Cd
0.5000 0.5000 0.5000 Br
0.7500 0.7500 0.7500 Br
```

=====

[2]
This record from Alexandria describes a relaxed KCdBr2 crystal. The functional is PBE.

Properties
SG: C2/m (12)
Electronic total energy (eV/atom): -2.278
E_form (uncorrected) (eV/atom): -0.938
Relative energy among the computed polymorphs (meV per atom): 83

The structure in POSCAR format:
```
KCdBr2
1.0
4.0825 -4.0272 0.0000
4.0825 4.0272 0.0000
-1.2515 0.0000 3.9014
K Cd Br
1 1 2
direct
0.0000 0.0000 0.0000 K
0.5000 0.5000 0.0000 Cd
0.0000 0.5000 0.5000 Br
0.5000 0.0000 0.5000 Br
```

=====

[3]
This record from Alexandria describes a relaxed KCdBr2 crystal. The functional is PBE.

Properties
SG: Pm (6)
Electronic total energy (eV/atom): -2.360
E_form (uncorrected) (eV/atom): -1.021
Relative energy among the computed polymorphs (meV per atom): 0

The structure in POSCAR format:
```
KCdBr2
1.0
4.5697 0.0000 0.0000
0.0000 6.3874 0.0000
-0.0002 0.0000 4.5704
K Cd Br
1 1 2
direct
0.0000 0.0000 0.0000 K
0.5000 0.5000 0.5012 Cd
0.0016 0.5000 0.9946 Br
0.5002 0.0000 0.4995 Br
```

=====

[4]
This record from Alexandria describes a relaxed K2Cd2Br5 crystal. The functional is PBE.

Properties
SG: C2/m (12)
Electronic total energy (eV/atom): -2.498
E_form (uncorrected) (eV/atom): -1.121

The structure in POSCAR format:
```
K2Cd2Br5
1.0
7.6201 -2.8680 0.0000
7.6201 2.8680 0.0000
-3.6996 0.0000 7.3800
K Cd Br
2 2 5
direct
0.1111 0.1111 0.2957 K
0.8889 0.8889 0.7043 K
0.3622 0.3622 0.1443 Cd
0.6378 0.6378 0.8557 Cd
0.1442 0.1442 0.8991 Br
0.3531 0.3531 0.4661 Br
0.5000 0.5000 0.0000 Br
0.6469 0.6469 0.5339 Br
0.8558 0.8558 0.1009 Br
```

=====

[5]
This record from Alexandria describes a relaxed KCdBr2 crystal. The functional is PBE.

Properties
SG: I-42d (122)
Electronic total energy (eV/atom): -2.303
E_form (uncorrected) (eV/atom): -0.964
Relative energy among the computed polymorphs (meV per atom): 57

The structure in POSCAR format:
```
KCdBr2
1.0
-3.3414 3.3414 7.9821
3.3414 -3.3414 7.9821
3.3414 3.3414 -7.9821
K Cd Br
2 2 4
direct
0.0000 0.0000 0.0000 K
0.7500 0.2500 0.5000 K
0.2500 0.7500 0.5000 Cd
0.5000 0.5000 0.0000 Cd
0.1749 0.6250 0.0499 Br
0.3750 0.4249 0.5499 Br
0.5751 0.1250 0.9501 Br
0.8750 0.8251 0.4501 Br
```

=====

[6]
This record from Alexandria describes a relaxed K2CdBr crystal. The functional is PBE.

Properties
SG: R3m (160)
Electronic total energy (eV/atom): -1.968
E_form (uncorrected) (eV/atom): -0.772
Relative energy among the computed polymorphs (meV per atom): 28

The structure in POSCAR format:
```
K2CdBr
1.0
2.2304 1.2877 9.6930
-2.2304 1.2877 9.6930
0.0000 -2.5754 9.6930
K Cd Br
2 1 1
direct
0.0000 0.0000 0.0000 K
0.1911 0.1911 0.1911 K
0.7626 0.7626 0.7626 Cd
0.5956 0.5956 0.5956 Br
```

=====

[7]
This record from Alexandria describes a relaxed K2CdBr crystal. The functional is PBE.

Properties
SG: Immm (71)
Electronic total energy (eV/atom): -1.848
E_form (uncorrected) (eV/atom): -0.652
Relative energy among the computed polymorphs (meV per atom): 147

The structure in POSCAR format:
```
K2CdBr
1.0
-2.3587 3.5769 5.2965
2.3587 -3.5769 5.2965
2.3587 3.5769 -5.2965
K Cd Br
2 1 1
direct
0.2069 0.2069 0.0000 K
0.7931 0.7931 0.0000 K
0.5000 0.0000 0.5000 Cd
0.0000 0.5000 0.5000 Br
```

=====

[8]
This record from Alexandria describes a relaxed K12Cd3Br5 crystal. The functional is PBE.

Properties
SG: Ia-3d (230)
Electronic total energy (eV/atom): -1.967
E_form (uncorrected) (eV/atom): -0.753

The structure in POSCAR format:
```
K12Cd3Br5
1.0
-10.1700 10.1700 10.1700
10.1700 -10.1700 10.1700
10.1700 10.1700 -10.1700
K Cd Br
48 12 20
direct
0.0405 0.2140 0.1279 K
0.0405 0.3266 0.9126 K
0.0861 0.7140 0.6734 K
0.0861 0.8721 0.4126 K
0.0874 0.6279 0.4139 K
0.0874 0.9595 0.6734 K
0.1279 0.0405 0.2140 K
0.1279 0.5874 0.9139 K
0.1734 0.2140 0.5861 K
0.1734 0.4595 0.5874 K
0.2140 0.1279 0.0405 K
0.2140 0.5861 0.1734 K
0.2860 0.3266 0.9139 K
0.2860 0.4595 0.3721 K
0.3266 0.9126 0.0405 K
0.3266 0.9139 0.2860 K
0.3721 0.2860 0.4595 K
0.3721 0.5861 0.9126 K
0.4126 0.0861 0.8721 K
0.4126 0.8266 0.5405 K
0.4139 0.0874 0.6279 K
0.4139 0.8266 0.7860 K
0.4595 0.3721 0.2860 K
0.4595 0.5874 0.1734 K
0.5405 0.4126 0.8266 K
0.5405 0.6279 0.7140 K
0.5861 0.1734 0.2140 K
0.5861 0.9126 0.3721 K
0.5874 0.1734 0.4595 K
0.5874 0.9139 0.1279 K
0.6279 0.4139 0.0874 K
0.6279 0.7140 0.5405 K
0.6734 0.0861 0.7140 K
0.6734 0.0874 0.9595 K
0.7140 0.5405 0.6279 K
0.7140 0.6734 0.0861 K
0.7860 0.4139 0.8266 K
0.7860 0.8721 0.9595 K
0.8266 0.5405 0.4126 K
0.8266 0.7860 0.4139 K
0.8721 0.4126 0.0861 K
0.8721 0.9595 0.7860 K
0.9126 0.0405 0.3266 K
0.9126 0.3721 0.5861 K
0.9139 0.1279 0.5874 K
0.9139 0.2860 0.3266 K
0.9595 0.6734 0.0874 K
0.9595 0.7860 0.8721 K
0.1250 0.2500 0.3750 Cd
0.1250 0.3750 0.7500 Cd
0.2500 0.3750 0.1250 Cd
0.2500 0.8750 0.6250 Cd
0.3750 0.1250 0.2500 Cd
0.3750 0.7500 0.1250 Cd
0.6250 0.2500 0.8750 Cd
0.6250 0.8750 0.7500 Cd
0.7500 0.1250 0.3750 Cd
0.7500 0.6250 0.8750 Cd
0.8750 0.6250 0.2500 Cd
0.8750 0.7500 0.6250 Cd
0.0000 0.0000 0.0000 Br
0.0000 0.0000 0.5000 Br
0.0000 0.5000 0.0000 Br
0.0000 0.5000 0.5000 Br
0.1250 0.7500 0.8750 Br
0.1250 0.8750 0.2500 Br
0.2500 0.1250 0.8750 Br
0.2500 0.6250 0.3750 Br
0.3750 0.2500 0.6250 Br
0.3750 0.6250 0.7500 Br
0.5000 0.0000 0.0000 Br
0.5000 0.0000 0.5000 Br
0.5000 0.5000 0.0000 Br
0.5000 0.5000 0.5000 Br
0.6250 0.3750 0.2500 Br
0.6250 0.7500 0.3750 Br
0.7500 0.3750 0.6250 Br
0.7500 0.8750 0.1250 Br
0.8750 0.1250 0.7500 Br
0.8750 0.2500 0.1250 Br
```

=====

Density? In order: 4.06 4.03 3.88 3.62 2.90 2.69 2.51 1.90 Mg/m³.
Size of the total moment? In order: 0.738 0.000 0.000 0.000 0.000 0.001 0.000 2.142 μB/f.u..
D(E_F)? In order: 3.62 1.38 1.42 0.84 0.30 2.31 2.48 52.18 states/eV per cell.